No. 1
Entry from the Alexandria database: a crystal of BeOs2Pb relaxed with PBEsol (SCAN).

Results
* formation energy from the elements: 0.869 eV/atom
* VASP energy: -220.4 eV per cell
* SG: Imm2 (44)
* excess energy over the best structure of this formula in the dataset: 262 meV/atom
* N(E_F): 3.06 states/eV/f.u.
* V: 14.9 A^3/atom
* ρ: 16.67 g/cm³

abc: 3.0678 4.3007 5.2217
angles: 114.32 107.08 90.00
Closest atoms and distances in Å follow each position.
Element x y z (fractional)
Pb 0.5208 0.5208 0.0417  6 Os 2.68-2.88, 2 Be 2.75
Os 0.9711 0.9711 0.9422  2 Be 2.34
Os 0.7334 0.2334 0.4668  4 Be 2.67, 2 Os 2.82, 2 Pb 2.88
Be 0.2747 0.7747 0.5493  2 Os 2.34

No. 2
Entry from the Alexandria database: a crystal of BeOs2Pb relaxed with PBEsol (SCAN).

Results
* formation energy from the elements: 0.908 eV/atom
* VASP energy: -220.3 eV per cell
* SG: I-4m2 (119)
* excess energy over the best structure of this formula in the dataset: 301 meV/atom
* N(E_F): 2.44 states/eV/f.u.
* V: 15.1 A^3/atom
* ρ: 16.45 g/cm³

abc: 3.9130 3.9130 4.8090
angles: 114.01 114.01 90.00
Closest atoms and distances in Å follow each position.
Element x y z (fractional)
Be 0.2500 0.7500 0.5000  8 Os 2.77, 4 Pb 2.77
Os 0.0000 0.0000 0.0000  4 Pb 2.77, 4 Os 2.77, 4 Be 2.77
Os 0.7500 0.2500 0.5000  4 Be 2.77, 4 Pb 2.77, 4 Os 2.77
Pb 0.5000 0.5000 0.0000  8 Os 2.77, 4 Be 2.77

Which of these has the lowest VASP energy?
number 1